1.
# Sr2YCu2AgO7

A relaxed Sr2YCu2AgO7 crystal (PBE-GGA, Alexandria).

Cell: 12.7088 12.7088 12.7088 Å, 34.73 155.65 155.62°
Closest atoms and distances in Å follow each position.
Atoms (fractional coordinates):
Sr: 0.9996 0.1522 0.1518  1 O 2.39
Sr: 0.9996 0.3478 0.3473  1 O 2.39
Sr: 0.0004 0.6522 0.6527  1 O 2.39
Sr: 0.0004 0.8478 0.8482  1 O 2.39
Y: 0.0017 0.0017 0.0000  8 O 2.39
Y: 0.0017 0.5017 0.5000  8 O 2.39
Cu: 0.5010 0.0755 0.5742  5 O 1.93-2.15
Cu: 0.5010 0.4268 0.9255  5 O 1.93-2.15
Cu: 0.5013 0.5755 0.0745  5 O 1.93-2.15
Cu: 0.5013 0.9268 0.4258  5 O 1.93-2.15
Ag: 0.5020 0.2606 0.7414  2 O 2.11
Ag: 0.5192 0.7606 0.2586  2 O 2.11
O: 0.0014 0.1918 0.6901  2 Cu 1.93
O: 0.0014 0.3115 0.8099  2 Cu 1.93
O: 0.0014 0.6915 0.1899  2 Cu 1.93
O: 0.0014 0.8113 0.3096  2 Cu 1.93
O: 0.4987 0.1633 0.6617  1 Ag 2.11, 1 Cu 2.15
O: 0.4987 0.3370 0.8354  1 Ag 2.11, 1 Cu 2.15
O: 0.5016 0.1915 0.1901  2 Cu 1.93
O: 0.5017 0.3113 0.3099  2 Cu 1.93
O: 0.5016 0.6633 0.1646  1 Ag 2.11, 1 Cu 2.15
O: 0.5017 0.6918 0.6904  2 Cu 1.93
O: 0.5016 0.8115 0.8101  2 Cu 1.93
O: 0.5016 0.8370 0.3383  1 Ag 2.11, 1 Cu 2.15
O: 0.9383 0.7019 0.7364  2 Ag 2.37-2.58, 2 Sr 2.39
O: 0.9654 0.2019 0.2636  2 Ag 2.37-2.58, 2 Sr 2.39

Calculated values
Crystal system ... orthorhombic
Formation energy (no corrections) ... -39.9 kcal/mol of atoms
Total magnetization ... 0.0 μB/f.u.
Calculated density ... 5.8 g cm⁻³
SG ... Ima2 (46)
Raw total energy ... -0.4414 Ry per atom
N(E_F) ... 0.250 states/eV/atom

***

2.
# TmSe4

A relaxed TmSe4 crystal (PBE-GGA, Alexandria).

Cell: 5.4021 5.4021 5.4021 Å, 90.00 90.00 90.00°
Closest atoms and distances in Å follow each position.
Atoms (fractional coordinates):
Tm: 0.0000 0.0000 0.0000  6 Se 2.70
Se: 0.0000 0.0000 0.5000  2 Tm 2.70
Se: 0.0000 0.5000 0.0000  2 Tm 2.70
Se: 0.5000 0.0000 0.0000  2 Tm 2.70
Se: 0.5000 0.5000 0.5000  12 Se 3.82

Calculated values
Crystal system ... cubic
Formation energy (no corrections) ... -0.4 kcal/mol of atoms
Total magnetization ... 2.1 μB/f.u.
Calculated density ... 5.1 g cm⁻³
SG ... Pm-3m (221)
Raw total energy ... -0.2720 Ry per atom
N(E_F) ... 1.458 states/eV/atom

***

3.
# CaLaSN2

A relaxed CaLaSN2 crystal (PBE-GGA, Alexandria).

Cell: 4.4340 4.4340 5.1111 Å, 90.00 90.00 90.00°
Closest atoms and distances in Å follow each position.
Atoms (fractional coordinates):
Ca: 0.0000 0.0000 0.0000  4 N 2.22
La: 0.5000 0.5000 0.5000  4 S 3.14, 8 N 3.38
S: 0.0000 0.0000 0.5000  2 Ca 2.56
N: 0.0000 0.5000 0.0000  2 Ca 2.22
N: 0.5000 0.0000 0.0000  2 Ca 2.22

Calculated values
Crystal system ... tetragonal
Formation energy (no corrections) ... 1.2 kcal/mol of atoms
Total magnetization ... 3.0 μB/f.u.
Energy above the lowest structure with this stoichiometry ... 0.233 eV per atom
Calculated density ... 4.0 g cm⁻³
SG ... P4/mmm (123)
Raw total energy ... -0.4035 Ry per atom
N(E_F) ... 0.806 states/eV/atom

***

4.
# LaNd3In3

A relaxed LaNd3In3 crystal (PBE-GGA, Alexandria).

Cell: 9.7810 9.7810 5.2709 Å, 90.00 90.00 120.00°
Closest atoms and distances in Å follow each position.
Atoms (fractional coordinates):
La: 0.3333 0.6667 0.2500  9 In 3.48-3.55, 3 Nd 3.83
La: 0.6667 0.3333 0.7500  9 In 3.48-3.55, 3 Nd 3.83
Nd: 0.0033 0.7635 0.7500  4 In 3.24-3.39, 4 Nd 3.52
Nd: 0.2365 0.2398 0.7500  4 In 3.24-3.39, 4 Nd 3.52
Nd: 0.2398 0.0033 0.2500  4 In 3.24-3.39, 4 Nd 3.52
Nd: 0.7602 0.9967 0.7500  4 In 3.24-3.39, 4 Nd 3.52
Nd: 0.7635 0.7602 0.2500  4 In 3.24-3.39, 4 Nd 3.52
Nd: 0.9967 0.2365 0.2500  4 In 3.24-3.39, 4 Nd 3.52
In: 0.0673 0.4536 0.7500  4 Nd 3.24-3.39, 2 In 3.27, 3 La 3.48-3.55
In: 0.3863 0.9327 0.7500  4 Nd 3.24-3.39, 2 In 3.27, 3 La 3.48-3.55
In: 0.4536 0.3863 0.2500  4 Nd 3.24-3.39, 2 In 3.27, 3 La 3.48-3.55
In: 0.5464 0.6137 0.7500  4 Nd 3.24-3.39, 2 In 3.27, 3 La 3.48-3.55
In: 0.6137 0.0673 0.2500  4 Nd 3.24-3.39, 2 In 3.27, 3 La 3.48-3.55
In: 0.9327 0.5464 0.2500  4 Nd 3.24-3.39, 2 In 3.27, 3 La 3.48-3.55

Calculated values
Crystal system ... hexagonal
Energy relative to the elements ... -34.83 kJ/mol of atoms
Total magnetization ... 0.0 μB/f.u.
Energy above the lowest structure with this stoichiometry ... 0.000 eV per atom
Calculated density ... 7.0 g cm⁻³
SG ... P6_3/m (176)
Raw total energy ... -0.3147 Ry per atom
N(E_F) ... 0.999 states/eV/atom

***

5.
# HoPdC

A relaxed HoPdC crystal (PBE-GGA, Alexandria).

Cell: 3.5221 3.5221 7.8329 Å, 90.00 90.00 90.00°
Closest atoms and distances in Å follow each position.
Atoms (fractional coordinates):
Ho: 0.2500 0.2500 0.1597  5 C 2.42-2.49
Ho: 0.7500 0.7500 0.8403  5 C 2.42-2.49
Pd: 0.2500 0.2500 0.5943  1 C 2.01
Pd: 0.7500 0.7500 0.4057  1 C 2.01
C: 0.2500 0.2500 0.8513  1 Pd 2.01
C: 0.7500 0.7500 0.1487  1 Pd 2.01

Calculated values
Crystal system ... tetragonal
Energy relative to the elements ... -14.77 kJ/mol of atoms
Total magnetization ... 0.0 μB/f.u.
Calculated density ... 9.7 g cm⁻³
SG ... P4/nmm (129)
Raw total energy ... -0.4766 Ry per atom
N(E_F) ... 0.763 states/eV/atom

***

6.
# EuTmHgIr

A relaxed EuTmHgIr crystal (PBE-GGA, Alexandria).

Cell: 7.1733 7.1733 7.1733 Å, 90.00 90.00 90.00°
Closest atoms and distances in Å follow each position.
Atoms (fractional coordinates):
Eu: 0.0000 0.0000 0.0000  4 Ir 3.11, 4 Hg 3.11
Eu: 0.0000 0.5000 0.5000  4 Ir 3.11, 4 Hg 3.11
Eu: 0.5000 0.0000 0.5000  4 Ir 3.11, 4 Hg 3.11
Eu: 0.5000 0.5000 0.0000  4 Ir 3.11, 4 Hg 3.11
Tm: 0.0000 0.0000 0.5000  4 Hg 3.11, 4 Ir 3.11
Tm: 0.0000 0.5000 0.0000  4 Hg 3.11, 4 Ir 3.11
Tm: 0.5000 0.0000 0.0000  4 Hg 3.11, 4 Ir 3.11
Tm: 0.5000 0.5000 0.5000  4 Hg 3.11, 4 Ir 3.11
Hg: 0.2500 0.2500 0.7500  4 Tm 3.11, 4 Eu 3.11
Hg: 0.2500 0.7500 0.2500  4 Tm 3.11, 4 Eu 3.11
Hg: 0.7500 0.2500 0.2500  4 Tm 3.11, 4 Eu 3.11
Hg: 0.7500 0.7500 0.7500  4 Tm 3.11, 4 Eu 3.11
Ir: 0.2500 0.2500 0.2500  4 Tm 3.11, 4 Eu 3.11
Ir: 0.2500 0.7500 0.7500  4 Tm 3.11, 4 Eu 3.11
Ir: 0.7500 0.2500 0.7500  4 Tm 3.11, 4 Eu 3.11
Ir: 0.7500 0.7500 0.2500  4 Tm 3.11, 4 Eu 3.11

Calculated values
Crystal system ... cubic
Energy relative to the elements ... -44.20 kJ/mol of atoms
Total magnetization ... 6.9 μB/f.u.
Calculated density ... 12.8 g cm⁻³
SG ... F-43m (216)
Raw total energy ... -0.4730 Ry per atom
N(E_F) ... 1.896 states/eV/atom